(1)
Here is BaTh2PN5 after structural relaxation from the Alexandria database. Energies are from PBE.

Cell: 6.868 6.868 5.735 Å, 90.00 90.00 90.00°
Sites, in units of the cell vectors:
Ba 0.000 0.000 0.000
Ba 0.500 0.500 0.000
Th 0.185 0.315 0.500
Th 0.315 0.815 0.500
Th 0.685 0.185 0.500
Th 0.815 0.685 0.500
P 0.000 0.500 0.000
P 0.500 0.000 0.000
N 0.000 0.000 0.500
N 0.126 0.626 0.220
N 0.126 0.626 0.780
N 0.374 0.126 0.220
N 0.374 0.126 0.780
N 0.500 0.500 0.500
N 0.626 0.874 0.220
N 0.626 0.874 0.780
N 0.874 0.374 0.220
N 0.874 0.374 0.780

Output
D(E_F)	0.066	states/eV/atom
total energy	-145.629	eV for the cell shown
formation energy without anion corrections	-1002	meV per atom

***

(2)
Here is LaCe2Tc after structural relaxation from the Alexandria database. Energies are from PBE.

Cell: 8.932 8.932 8.932 Å, 25.67 25.67 25.67°
Sites, in units of the cell vectors:
La 0.000 0.000 0.000
Ce 0.227 0.227 0.227
Ce 0.445 0.445 0.445
Tc 0.841 0.841 0.841

Output
D(E_F)	1.939	states/eV/atom
total energy	-26.739	eV for the cell shown
distance to the lowest polymorph of the same formula	15.90	kJ per mole of atoms